YTm3Os | Alexandria via LeMat-Bulk | GGA-PBE | optimized geometry; total moment = 0.32 μB per formula unit; energy of formation from the pure elements = 0 meV/atom; space-group type = No. 12; DOS(E_F) = 6.35 states/eV/f.u.; crystal system = monoclinic
1.0
-0.778 2.789 2.055
-8.693 -3.496 1.452
5.291 -4.615 5.199
Tm Y Os
6 2 2
Direct
0.686 0.871 0.371
0.999 0.825 0.998
0.314 0.129 0.629
0.001 0.175 0.002
0.098 0.543 0.196
0.902 0.457 0.804
0.307 0.689 0.614
0.693 0.311 0.386
0.863 0.936 0.726
0.137 0.064 0.274